PrTmPu after structural relaxation, computed with GGA-PBE.

Geometry as POSCAR:
```
PrTmPu
1.0
12.254 0.000 0.000
0.000 3.511 0.000
0.000 0.000 8.064
Pr Tm Pu
4 4 4
Cartesian
2.348 0.878 1.748
3.779 2.633 5.780
8.475 0.878 2.284
9.906 2.633 6.316
0.872 0.878 6.819
5.255 2.633 2.787
7.000 0.878 5.277
11.382 2.633 1.245
0.723 2.633 4.165
5.404 0.878 0.133
6.850 2.633 7.931
11.531 0.878 3.899
```

Calculated values
- ρ (g cm⁻³) = 10.60
- total moment (μB per cell) = 0.00
- final energy (eV/cell) = -91.10